DFT (PBE) results for a geometry-optimized Mn2AlNiMo structure.

a = 4.414 Å, b = 4.414 Å, c = 4.589 Å
α = 90.00°, β = 90.00°, γ = 90.00°
Space group P4/mmm (No. 123)
One atom of each set of equivalent atoms:
Mn  0.000  0.500  0.000
Al  0.000  0.000  0.000
Ni  0.500  0.500  0.500
Mo  0.000  0.000  0.500

Computed properties:
ΔH_f (0 K): 1.456 eV/atom
uncorrected energy: -6.283 eV per atom

***

DFT (PBE) results for a geometry-optimized TbTmAs2Rh5 structure.

a = 4.234 Å, b = 4.234 Å, c = 8.744 Å
α = 90.00°, β = 90.00°, γ = 90.00°
Space group P4/mmm (No. 123)
One atom of each set of equivalent atoms:
Tb  0.000  0.000  0.000
Tm  0.000  0.000  0.500
As  0.500  0.500  0.355
Rh  0.000  0.500  0.234
Rh  0.500  0.500  0.000

Computed properties:
ΔH_f (0 K): -0.781 eV/atom
uncorrected energy: -6.909 eV per atom

***

DFT (PBE) results for a geometry-optimized Nd12Tl6N structure.

a = 12.5187 Å, b = 12.5187 Å, c = 13.4107 Å
α = 90.00°, β = 90.00°, γ = 120.00°
Space group R-3 (No. 148, hexagonal axes)
One atom of each set of equivalent atoms:
Nd  0.0352  0.1782  0.3899
Nd  0.0354  0.8487  0.8817
Tl  0.0025  0.6071  0.7489
N  0.0000  0.0000  0.5000

Computed properties:
energy relative to the elements, uncorrected: -0.316 eV/atom
uncorrected energy: -4.513 eV per atom

***

DFT (PBE) results for a geometry-optimized CaCuW2I structure.

a = 4.983 Å, b = 4.983 Å, c = 4.933 Å
α = 90.00°, β = 90.00°, γ = 90.00°
Space group P4/mmm (No. 123)
One atom of each set of equivalent atoms:
Ca  0.000  0.000  0.000
Cu  0.500  0.500  0.000
W  0.000  0.500  0.500
I  0.500  0.500  0.500

Computed properties:
energy relative to the elements, uncorrected: 1.940 eV/atom
uncorrected energy: -4.771 eV per atom

***

Q: What is the formula in the third record?
A: Nd12Tl6N

***

Q: Which value of uncorrected energy does entry 4 give?
A: -4.771 eV per atom